# 1
A relaxed Sc2Co2Rh crystal, computed with PBE.

The structure in extended XYZ format:
```
10
Lattice="6.423 0.000 0.000 0.000 6.423 0.000 0.000 0.000 3.768" Properties=species:S:1:pos:R:3 pbc="T T T"
Sc 1.177 4.389 1.884
Sc 4.389 5.246 1.884
Sc 5.246 2.035 1.884
Sc 2.035 1.177 1.884
Co 2.437 5.649 0.000
Co 5.649 3.986 0.000
Co 3.986 0.775 0.000
Co 0.775 2.437 0.000
Rh 0.000 0.000 0.000
Rh 3.212 3.212 0.000
```

formation energy from the elements = -0.392 eV per atom
DFT total energy = -72.38 eV for the cell shown


# 2
A relaxed Tb6Nd2Th crystal, computed with PBE.

The structure in extended XYZ format:
```
9
Lattice="3.478 0.451 0.177 -0.900 8.690 -4.478 3.052 -0.085 9.982" Properties=species:S:1:pos:R:3 pbc="T T T"
Tb 4.936 0.318 6.828
Tb 1.297 2.921 1.849
Tb 0.695 8.737 -1.148
Tb 1.442 3.099 -1.393
Tb 4.334 6.135 3.831
Tb 1.137 6.042 -2.909
Nd 2.895 2.990 5.220
Nd 2.736 6.066 0.461
Th 0.000 0.000 0.000
```

formation energy from the elements = 0.058 eV per atom
DFT total energy = -44.21 eV for the cell shown


# 3
A relaxed BaZrMoH2 crystal, computed with PBE.

The structure in extended XYZ format:
```
5
Lattice="-2.160 3.017 1.667 -5.094 -3.567 -0.146 0.885 -1.416 3.709" Properties=species:S:1:pos:R:3 pbc="T T T"
H 0.443 -0.708 1.855
H -1.080 1.508 0.834
Mo -3.185 -0.983 2.615
Ba -2.547 -1.784 -0.073
Zr 0.000 0.000 0.000
```

DFT total energy = -21.39 eV for the cell shown


# 4
A relaxed HoCu2Cl6 crystal, computed with PBE.

The structure in extended XYZ format:
```
18
Lattice="-3.653 -3.819 4.094 -4.691 -6.092 -5.341 5.081 -7.616 1.956" Properties=species:S:1:pos:R:3 pbc="T T T"
Ho 3.295 -8.435 2.328
Ho -6.558 -9.092 -1.619
Cu -0.123 -9.359 0.060
Cu 0.433 -6.531 -0.094
Cu -3.141 -8.168 0.648
Cu -3.697 -10.996 0.802
Cl -2.132 -10.031 -0.667
Cl -0.651 -5.376 -1.677
Cl -1.131 -7.496 1.375
Cl -2.612 -12.151 2.386
Cl -5.400 -11.238 -0.618
Cl -4.884 -7.389 -0.505
Cl 2.136 -6.289 1.326
Cl 1.620 -10.138 1.213
Cl 0.346 -12.853 -1.864
Cl -0.570 -2.954 1.431
Cl -3.610 -4.674 2.573
Cl -2.693 -14.573 -0.723
```

DFT total energy = -70.46 eV for the cell shown
raw formation energy = -1.2644 eV/atom


# 5
A relaxed YHgIr2 crystal, computed with PBE.

The structure in extended XYZ format:
```
4
Lattice="-0.109 -1.518 -4.768 -0.561 -4.030 -2.913 -5.074 0.113 -1.084" Properties=species:S:1:pos:R:3 pbc="T T T"
Hg -1.436 -1.359 -2.191
Ir -0.154 -0.001 -0.038
Ir -2.719 -2.717 -4.344
Y -4.309 -4.076 -6.574
```

formation energy from the elements = -0.035 eV per atom
DFT total energy = -24.63 eV for the cell shown


# 6
A relaxed Cs3HfSe4 crystal, computed with PBE.

The structure in extended XYZ format:
```
8
Lattice="5.569 0.015 2.783 1.264 7.568 4.393 -0.869 1.343 8.696" Properties=species:S:1:pos:R:3 pbc="T T T"
Cs 1.969 2.822 3.007
Cs 0.981 6.743 4.963
Cs 4.604 7.883 11.636
Hf 3.033 4.613 7.833
Se 4.155 4.429 5.588
Se 2.664 6.993 8.559
Se 1.022 3.129 8.103
Se 4.030 3.138 9.606
```

DFT total energy = -35.94 eV for the cell shown
raw formation energy = -1.1859 eV/atom


# 7
A relaxed Zn2CuRu crystal, computed with PBE.

The structure in extended XYZ format:
```
4
Lattice="-1.461 -2.021 -0.903 0.046 0.295 2.635 -6.990 5.260 -0.467" Properties=species:S:1:pos:R:3 pbc="T T T"
Cu -3.478 2.617 -0.233
Ru -5.927 3.064 0.517
Zn -6.972 5.246 -0.466
Zn -2.513 0.496 0.745
```

formation energy from the elements = 0.139 eV per atom
DFT total energy = -15.36 eV for the cell shown


# 8
A relaxed HgMo3 crystal, computed with PBE.

The structure in extended XYZ format:
```
4
Lattice="-0.626 1.895 -3.535 -3.937 0.014 3.036 -0.557 3.502 1.976" Properties=species:S:1:pos:R:3 pbc="T T T"
Hg 0.000 0.000 0.000
Mo -2.264 1.357 1.128
Mo -0.591 2.699 -0.779
Mo -2.855 4.055 0.349
```

formation energy from the elements = 0.489 eV per atom
DFT total energy = -30.84 eV for the cell shown


# 9
A relaxed HfZr2PbN crystal, computed with PBE.

The structure in extended XYZ format:
```
5
Lattice="4.705 0.000 0.000 0.000 4.705 0.000 0.000 0.000 4.269" Properties=species:S:1:pos:R:3 pbc="T T T"
Pb 2.352 2.352 2.135
Hf 0.000 0.000 2.135
Zr 0.000 2.352 0.000
Zr 2.352 0.000 0.000
N 0.000 0.000 0.000
```

DFT total energy = -42.45 eV for the cell shown
raw formation energy = -0.6733 eV/atom


Among the records above, which one has the highest DFT total energy? Zn2CuRu


The highest DFT total energy belongs to which entry? Zn2CuRu